ZnB3Sb | meta-GGA SCAN | single point on PBEsol structure

Results
Magnetization   0.000 μB per atom
Total energy   -61.497 eV for the cell shown
Formation energy (no corrections)   2.31 eV/atom
DOS at the Fermi energy   2.538 states/eV per cell

Cell: 4.4622 4.4622 4.4622 Å, 90.00 90.00 90.00°
Fractional positions:
Sb: 0.0000 0.0000 0.0000
Zn: 0.5000 0.5000 0.5000
B: 0.0000 0.5000 0.0000
B: 0.0000 0.0000 0.5000
B: 0.5000 0.0000 0.0000